(1)
The following is a DFT calculation (PBE) of a relaxed structure of Mn3AgW.

a b c (Å): 4.7495 4.7495 4.7495
angles (deg): 90.00 90.00 90.00
With the nearest neighbours (Å) after each atom.
Fractional coordinates of all 5 atoms:
1 Mn 0.0000 0.5000 0.0000  2 Ag 2.37
2 Mn 0.5000 0.0000 0.0000  2 Ag 2.37
3 Mn 0.0000 0.0000 0.5000  2 Ag 2.37
4 Ag 0.0000 0.0000 0.0000  6 Mn 2.37
5 W 0.5000 0.5000 0.5000  12 Mn 3.36

Values from the calculation:
Total DFT energy (no corrections) in eV/atom: -6.802
Calculated formation energy in eV/atom: 1.861
SG: Pm-3m
Size of the total moment in μB per atom: 1.91
Offset from the most stable computed form in meV/atom: 509


(2)
The following is a DFT calculation (PBE) of a relaxed structure of MnAg2W.

a b c (Å): 4.8137 4.8137 4.8137
angles (deg): 129.92 129.92 73.54
With the nearest neighbours (Å) after each atom.
Fractional coordinates of all 4 atoms:
1 Ag 0.2500 0.7500 0.5000  4 Ag 2.81, 4 Mn 2.81, 4 W 2.88
2 Ag 0.0000 0.0000 0.0000  4 Ag 2.81, 4 W 2.81, 4 Mn 2.88
3 Mn 0.5000 0.5000 0.0000  4 W 2.81, 8 Ag 2.81-2.88
4 W 0.7500 0.2500 0.5000  4 Mn 2.81, 8 Ag 2.81-2.88

Values from the calculation:
Total DFT energy (no corrections) in eV/atom: -6.273
Calculated formation energy in eV/atom: 0.683
SG: I-4m2
Size of the total moment in μB per atom: 0.31
Offset from the most stable computed form in meV/atom: 339


(3)
The following is a DFT calculation (PBE) of a relaxed structure of MnAg2W.

a b c (Å): 2.7568 2.7568 9.0568
angles (deg): 90.00 90.00 109.55
With the nearest neighbours (Å) after each atom.
Fractional coordinates of all 4 atoms:
1 Ag 0.0000 0.0000 0.9954  6 Ag 2.76-2.91, 2 W 2.91
2 Ag 0.5000 0.5000 0.2642  6 Ag 2.76-2.91, 2 Mn 2.76
3 W 0.5000 0.5000 0.7269  2 Mn 2.50, 4 W 2.76
4 Mn 0.0000 0.0000 0.5135  2 W 2.50, 4 Mn 2.76, 2 Ag 2.76

Values from the calculation:
Total DFT energy (no corrections) in eV/atom: -6.612
Calculated formation energy in eV/atom: 0.344
SG: Cmm2
Size of the total moment in μB per atom: 0.58
Offset from the most stable computed form in meV/atom: 0


(4)
The following is a DFT calculation (PBE) of a relaxed structure of MnAg2W.

a b c (Å): 4.4539 4.4539 4.4539
angles (deg): 60.00 60.00 60.00
With the nearest neighbours (Å) after each atom.
Fractional coordinates of all 4 atoms:
1 Ag 0.2500 0.2500 0.2500  4 W 2.73, 4 Mn 2.73
2 Ag 0.7500 0.7500 0.7500  4 Mn 2.73, 4 W 2.73
3 W 0.5000 0.5000 0.5000  8 Ag 2.73
4 Mn 0.0000 0.0000 0.0000  8 Ag 2.73

Values from the calculation:
Total DFT energy (no corrections) in eV/atom: -5.807
Calculated formation energy in eV/atom: 1.149
SG: Fm-3m
Size of the total moment in μB per atom: 0.00
Offset from the most stable computed form in meV/atom: 805


(5)
The following is a DFT calculation (PBE) of a relaxed structure of MnAg4W.

a b c (Å): 5.3488 5.3488 5.3488
angles (deg): 60.00 60.00 60.00
With the nearest neighbours (Å) after each atom.
Fractional coordinates of all 6 atoms:
1 Ag 0.6250 0.1251 0.6250  6 Ag 2.67
2 Ag 0.6250 0.6250 0.6250  6 Ag 2.67
3 Ag 0.1251 0.6250 0.6250  6 Ag 2.67
4 Ag 0.6250 0.6250 0.1251  6 Ag 2.67
5 Mn 0.2500 0.2500 0.2500  12 Ag 3.14, 4 W 3.28
6 W 0.0000 0.0000 0.0000  12 Ag 3.14, 4 Mn 3.28

Values from the calculation:
Total DFT energy (no corrections) in eV/atom: -4.782
Calculated formation energy in eV/atom: 0.806
SG: F-43m
Size of the total moment in μB per atom: 0.32


(6)
The following is a DFT calculation (PBE) of a relaxed structure of MnAg2W.

a b c (Å): 5.1019 5.1019 4.8012
angles (deg): 81.76 81.76 31.35
With the nearest neighbours (Å) after each atom.
Fractional coordinates of all 4 atoms:
1 W 0.2500 0.2500 0.2500  2 W 2.76, 4 Mn 2.77, 6 Ag 2.89-2.92
2 Ag 0.4994 0.4994 0.5009  6 Ag 2.76-2.77, 3 W 2.89-2.92, 3 Mn 2.89-2.91
3 Ag 0.0006 0.0006 0.9991  6 Ag 2.76-2.77, 3 W 2.89-2.92, 3 Mn 2.89-2.91
4 Mn 0.7500 0.7500 0.7500  2 Mn 2.76, 4 W 2.77, 6 Ag 2.89-2.91

Values from the calculation:
Total DFT energy (no corrections) in eV/atom: -6.401
Calculated formation energy in eV/atom: 0.555
SG: C2/m
Size of the total moment in μB per atom: 0.57
Offset from the most stable computed form in meV/atom: 211


(7)
The following is a DFT calculation (PBE) of a relaxed structure of MnAg2W.

a b c (Å): 5.1876 5.1876 5.1876
angles (deg): 137.26 137.26 62.04
With the nearest neighbours (Å) after each atom.
Fractional coordinates of all 4 atoms:
1 Mn 0.2500 0.7500 0.5000  4 W 2.67, 8 Ag 2.92
2 Ag 0.5000 0.5000 0.0000  4 Ag 2.67, 4 Mn 2.92, 4 W 2.92
3 Ag 0.0000 0.0000 0.0000  4 Ag 2.67, 4 Mn 2.92, 4 W 2.92
4 W 0.7500 0.2500 0.5000  4 Mn 2.67, 8 Ag 2.92

Values from the calculation:
Total DFT energy (no corrections) in eV/atom: -6.298
Calculated formation energy in eV/atom: 0.658
SG: I4/mmm
Size of the total moment in μB per atom: 0.29
Offset from the most stable computed form in meV/atom: 314


(8)
The following is a DFT calculation (PBE) of a relaxed structure of MnAg2W.

a b c (Å): 2.7332 2.7332 9.5484
angles (deg): 90.00 90.00 111.52
With the nearest neighbours (Å) after each atom.
Fractional coordinates of all 4 atoms:
1 W 0.5000 0.5000 0.7500  4 W 2.73, 4 Ag 2.90
2 Ag 0.0000 0.0000 0.4927  4 Ag 2.73, 2 Mn 2.78, 2 W 2.90
3 Ag 0.0000 0.0000 0.0073  4 Ag 2.73, 2 Mn 2.78, 2 W 2.90
4 Mn 0.5000 0.5000 0.2500  4 Mn 2.73, 4 Ag 2.78

Values from the calculation:
Total DFT energy (no corrections) in eV/atom: -6.382
Calculated formation energy in eV/atom: 0.575
SG: Cmmm
Size of the total moment in μB per atom: 0.96
Offset from the most stable computed form in meV/atom: 231


(9)
The following is a DFT calculation (PBE) of a relaxed structure of MnAg3W.

a b c (Å): 5.0062 5.0062 5.0062
angles (deg): 90.00 90.00 90.00
With the nearest neighbours (Å) after each atom.
Fractional coordinates of all 5 atoms:
1 Ag 0.5000 0.0000 0.0000  2 W 2.50
2 Ag 0.0000 0.0000 0.5000  2 W 2.50
3 Ag 0.0000 0.5000 0.0000  2 W 2.50
4 W 0.0000 0.0000 0.0000  6 Ag 2.50
5 Mn 0.5000 0.5000 0.5000  12 Ag 3.54

Values from the calculation:
Total DFT energy (no corrections) in eV/atom: -3.752
Calculated formation energy in eV/atom: 2.384
SG: Pm-3m
Size of the total moment in μB per atom: 0.18
Offset from the most stable computed form in meV/atom: 188


(10)
The following is a DFT calculation (PBE) of a relaxed structure of MnAg2W.

a b c (Å): 9.5142 9.5142 9.5142
angles (deg): 17.21 17.21 17.21
With the nearest neighbours (Å) after each atom.
Fractional coordinates of all 4 atoms:
1 W 0.7549 0.7549 0.7549  3 Mn 2.71, 6 W 2.85, 3 Ag 2.96
2 Ag 0.2463 0.2463 0.2463  3 Mn 2.82, 9 Ag 2.85-2.96
3 Ag 0.0006 0.0006 0.0006  9 Ag 2.85-2.96, 3 W 2.96
4 Mn 0.4982 0.4982 0.4982  3 W 2.71, 3 Ag 2.82, 6 Mn 2.85

Values from the calculation:
Total DFT energy (no corrections) in eV/atom: -6.556
Calculated formation energy in eV/atom: 0.400
SG: R3m
Size of the total moment in μB per atom: 0.79
Offset from the most stable computed form in meV/atom: 56


(11)
The following is a DFT calculation (PBE) of a relaxed structure of MnAgW3.

a b c (Å): 4.4874 4.4874 4.4874
angles (deg): 90.00 90.00 90.00
With the nearest neighbours (Å) after each atom.
Fractional coordinates of all 5 atoms:
1 W 0.0000 0.5000 0.0000  2 Mn 2.24
2 W 0.0000 0.0000 0.5000  2 Mn 2.24
3 W 0.5000 0.0000 0.0000  2 Mn 2.24
4 Mn 0.0000 0.0000 0.0000  6 W 2.24
5 Ag 0.5000 0.5000 0.5000  12 W 3.17

Values from the calculation:
Total DFT energy (no corrections) in eV/atom: -8.764
Calculated formation energy in eV/atom: 1.412
SG: Pm-3m
Size of the total moment in μB per atom: 0.00
Offset from the most stable computed form in meV/atom: 0


(12)
The following is a DFT calculation (PBE) of a relaxed structure of MnAgW4.

a b c (Å): 5.2729 5.2729 5.2729
angles (deg): 60.00 60.00 60.00
With the nearest neighbours (Å) after each atom.
Fractional coordinates of all 6 atoms:
1 Ag 0.7500 0.7500 0.7500  12 W 3.09, 4 Mn 3.23
2 W 0.3754 0.3754 0.3754  6 W 2.63-2.64
3 W 0.8738 0.3754 0.3754  6 W 2.63-2.64
4 W 0.3754 0.3754 0.8738  6 W 2.63-2.64
5 W 0.3754 0.8738 0.3754  6 W 2.63-2.64
6 Mn 0.0000 0.0000 0.0000  12 W 3.09, 4 Ag 3.23

Values from the calculation:
Total DFT energy (no corrections) in eV/atom: -9.926
Calculated formation energy in eV/atom: 0.713
SG: F-43m
Size of the total moment in μB per atom: 0.41


(13)
The following is a DFT calculation (PBE) of a relaxed structure of MnAg2W.

a b c (Å): 5.6028 5.6028 5.6028
angles (deg): 150.29 131.90 57.56
With the nearest neighbours (Å) after each atom.
Fractional coordinates of all 4 atoms:
1 Ag 0.9888 0.9888 0.0000  6 Ag 2.71-2.87, 2 Mn 2.75, 2 W 2.94
2 Ag 0.5112 0.5112 0.0000  6 Ag 2.71-2.87, 2 Mn 2.75, 2 W 2.94
3 Mn 0.7500 0.2500 0.5000  4 W 2.70, 4 Ag 2.75, 2 Mn 2.87
4 W 0.2500 0.7500 0.5000  4 Mn 2.70, 2 W 2.87, 4 Ag 2.94

Values from the calculation:
Total DFT energy (no corrections) in eV/atom: -6.347
Calculated formation energy in eV/atom: 0.610
SG: Immm
Size of the total moment in μB per atom: 0.55
Offset from the most stable computed form in meV/atom: 266


(14)
The following is a DFT calculation (PBE) of a relaxed structure of MnAg2W.

a b c (Å): 5.1830 5.1830 2.7154
angles (deg): 90.00 90.00 117.14
With the nearest neighbours (Å) after each atom.
Fractional coordinates of all 4 atoms:
1 Mn 0.5000 0.0000 0.5000  2 W 2.70, 2 Mn 2.72, 8 Ag 2.93
2 W 0.0000 0.5000 0.5000  2 Mn 2.70, 2 W 2.72, 8 Ag 2.93
3 Ag 0.0000 0.0000 0.0000  4 Ag 2.70-2.72, 4 Mn 2.93, 4 W 2.93
4 Ag 0.5000 0.5000 0.0000  4 Ag 2.70-2.72, 4 W 2.93, 4 Mn 2.93

Values from the calculation:
Total DFT energy (no corrections) in eV/atom: -6.319
Calculated formation energy in eV/atom: 0.637
SG: Cmmm
Size of the total moment in μB per atom: 0.65
Offset from the most stable computed form in meV/atom: 293


(15)
The following is a DFT calculation (PBE) of a relaxed structure of MnAg2W.

a b c (Å): 2.8702 4.5774 4.9571
angles (deg): 90.00 90.00 90.00
With the nearest neighbours (Å) after each atom.
Fractional coordinates of all 4 atoms:
1 W 0.0000 0.5000 0.5000  4 Mn 2.70, 4 Ag 2.86, 2 W 2.87
2 Mn 0.5000 0.0000 0.5000  4 W 2.70, 4 Ag 2.86, 2 Mn 2.87
3 Ag 0.0000 0.0000 0.0000  6 Ag 2.70-2.87, 4 Mn 2.86
4 Ag 0.5000 0.5000 0.0000  6 Ag 2.70-2.87, 4 W 2.86

Values from the calculation:
Total DFT energy (no corrections) in eV/atom: -6.349
Calculated formation energy in eV/atom: 0.608
SG: Pmmm
Size of the total moment in μB per atom: 0.61
Offset from the most stable computed form in meV/atom: 264


(16)
The following is a DFT calculation (PBE) of a relaxed structure of MnAg2W.

a b c (Å): 4.5550 3.7465 3.7465
angles (deg): 90.00 90.00 90.00
With the nearest neighbours (Å) after each atom.
Fractional coordinates of all 4 atoms:
1 W 0.5000 0.0000 0.5000  4 Mn 2.65, 8 Ag 2.95
2 Mn 0.5000 0.5000 0.0000  4 W 2.65, 8 Ag 2.95
3 Ag 0.0000 0.5000 0.5000  4 Ag 2.65, 4 Mn 2.95, 4 W 2.95
4 Ag 0.0000 0.0000 0.0000  4 Ag 2.65, 4 Mn 2.95, 4 W 2.95

Values from the calculation:
Total DFT energy (no corrections) in eV/atom: -6.240
Calculated formation energy in eV/atom: 0.716
SG: P4/mmm
Size of the total moment in μB per atom: 0.33
Offset from the most stable computed form in meV/atom: 372


(17)
The following is a DFT calculation (PBE) of a relaxed structure of MnAg2W.

a b c (Å): 4.8294 4.8294 5.1581
angles (deg): 81.60 81.60 33.14
With the nearest neighbours (Å) after each atom.
Fractional coordinates of all 4 atoms:
1 W 0.2441 0.2441 0.2707  3 Mn 2.69-2.77, 2 W 2.75, 7 Ag 2.85-2.98
2 Ag 0.9987 0.9987 0.9969  5 Ag 2.75-2.85, 4 Mn 2.84-3.01, 3 W 2.85-2.90
3 Ag 0.7536 0.7536 0.7560  5 Ag 2.75-2.85, 4 W 2.87-2.98, 3 Mn 2.88-2.91
4 Mn 0.5036 0.5036 0.4765  3 W 2.69-2.77, 2 Mn 2.75, 7 Ag 2.84-3.01

Values from the calculation:
Total DFT energy (no corrections) in eV/atom: -6.409
Calculated formation energy in eV/atom: 0.548
SG: Cm
Size of the total moment in μB per atom: 0.74
Offset from the most stable computed form in meV/atom: 204


(18)
The following is a DFT calculation (PBE) of a relaxed structure of MnAg3W.

a b c (Å): 4.6262 4.6262 4.6262
angles (deg): 90.00 90.00 90.00
With the nearest neighbours (Å) after each atom.
Fractional coordinates of all 5 atoms:
1 Ag 0.5000 0.0000 0.0000  2 Mn 2.31
2 Ag 0.0000 0.5000 0.0000  2 Mn 2.31
3 Ag 0.0000 0.0000 0.5000  2 Mn 2.31
4 W 0.5000 0.5000 0.5000  12 Ag 3.27
5 Mn 0.0000 0.0000 0.0000  6 Ag 2.31

Values from the calculation:
Total DFT energy (no corrections) in eV/atom: -3.940
Calculated formation energy in eV/atom: 2.196
SG: Pm-3m
Size of the total moment in μB per atom: 0.00
Offset from the most stable computed form in meV/atom: 0


(19)
The following is a DFT calculation (PBE) of a relaxed structure of MnAg2W.

a b c (Å): 2.7616 2.7616 8.6218
angles (deg): 90.00 90.00 90.00
With the nearest neighbours (Å) after each atom.
Fractional coordinates of all 4 atoms:
1 Mn 0.5000 0.5000 0.2500  4 Mn 2.76, 8 Ag 2.86
2 Ag 0.0000 0.0000 0.4920  4 Ag 2.76, 4 Mn 2.86, 4 W 2.96
3 Ag 0.0000 0.0000 0.0080  4 Ag 2.76, 4 Mn 2.86, 4 W 2.96
4 W 0.5000 0.5000 0.7500  4 W 2.76, 8 Ag 2.96

Values from the calculation:
Total DFT energy (no corrections) in eV/atom: -6.390
Calculated formation energy in eV/atom: 0.566
SG: P4/mmm
Size of the total moment in μB per atom: 1.01
Offset from the most stable computed form in meV/atom: 222


(20)
The following is a DFT calculation (PBE) of a relaxed structure of YMnAg.

a b c (Å): 4.7827 4.7827 4.7827
angles (deg): 60.00 60.00 60.00
With the nearest neighbours (Å) after each atom.
Fractional coordinates of all 3 atoms:
1 Y 0.7500 0.7500 0.7500  4 Mn 2.93, 4 Ag 2.93
2 Ag 0.0000 0.0000 0.0000  4 Y 2.93
3 Mn 0.5000 0.5000 0.5000  4 Y 2.93

Values from the calculation:
Total DFT energy (no corrections) in eV/atom: -5.464
Calculated formation energy in eV/atom: 0.698
SG: F-43m
Size of the total moment in μB per atom: 1.19